CsHf2Br9: PBEsol geometry, meta-GGA SCAN.

```
data_CsHf2Br9
_chemical_formula_sum 'Cs2 Hf4 Br18'
_symmetry_space_group_name_H-M 'P 1'
_symmetry_Int_Tables_number 1
_cell_length_a 10.0039
_cell_length_b 6.7759
_cell_length_c 12.9757
_cell_angle_alpha 90.00
_cell_angle_beta 113.24
_cell_angle_gamma 90.00
loop_
_symmetry_equiv_pos_as_xyz
'x,y,z'
loop_
_atom_site_label
_atom_site_type_symbol
_atom_site_fract_x
_atom_site_fract_y
_atom_site_fract_z
_atom_site_occupancy
Cs1 Cs 0.0000 0.0905 0.2500 1
Cs2 Cs 0.0000 0.9095 0.7500 1
Hf1 Hf 0.3238 0.2438 0.6329 1
Hf2 Hf 0.3238 0.7562 0.1329 1
Hf3 Hf 0.6762 0.2438 0.8671 1
Hf4 Hf 0.6762 0.7562 0.3671 1
Br1 Br 0.1087 0.3948 0.6556 1
Br2 Br 0.1087 0.6052 0.1556 1
Br3 Br 0.2047 0.0799 0.0556 1
Br4 Br 0.2047 0.9201 0.5556 1
Br5 Br 0.2935 0.4007 0.4520 1
Br6 Br 0.2935 0.5993 0.9520 1
Br7 Br 0.4148 0.0915 0.8445 1
Br8 Br 0.4148 0.9085 0.3445 1
Br9 Br 0.5000 0.4613 0.2500 1
Br10 Br 0.5000 0.5387 0.7500 1
Br11 Br 0.5852 0.0915 0.6555 1
Br12 Br 0.5852 0.9085 0.1555 1
Br13 Br 0.7065 0.4007 0.0480 1
Br14 Br 0.7065 0.5993 0.5480 1
Br15 Br 0.7953 0.0799 0.4444 1
Br16 Br 0.7953 0.9201 0.9444 1
Br17 Br 0.8913 0.3948 0.8444 1
Br18 Br 0.8913 0.6052 0.3444 1
```

## Properties
Energy in eV/atom: -29.842